(1)
DFT (GGA-PBE) results for Zr2TaBr after structural relaxation.

abc: 3.2738 3.5010 8.2557
angles: 89.91 90.00 90.00
With the nearest neighbours (Å) after each atom.
Fractional positions:
Zr  0.0000  0.2508  0.5429  2 Br 2.92, 4 Ta 2.94
Zr  0.0000  0.2492  0.9571  2 Br 2.92, 4 Ta 2.94
Br  0.5000  0.2500  0.2500  4 Zr 2.92
Ta  0.5000  0.7500  0.7500  8 Zr 2.94, 2 Ta 3.27

Results
As for the total moment: 0.00 μB/f.u. The distance to the lowest polymorph of the same formula is 0.000 eV/atom. The uncorrected formation energy comes out at -1.02 eV per formula unit.



(2)
DFT (GGA-PBE) results for Zr2TaBr after structural relaxation.

abc: 10.5145 10.5145 10.5145
angles: 17.86 17.86 17.86
With the nearest neighbours (Å) after each atom.
Fractional positions:
Zr  0.9979  0.9979  0.9979  3 Ta 2.93, 9 Zr 3.20-3.26
Zr  0.2481  0.2481  0.2481  3 Br 2.75
Br  0.5170  0.5170  0.5170  3 Zr 2.75
Ta  0.7370  0.7370  0.7370  3 Zr 2.93, 6 Ta 3.26

Results
As for the total moment: 0.37 μB/f.u. The distance to the lowest polymorph of the same formula is 0.319 eV/atom. The uncorrected formation energy comes out at 0.26 eV per formula unit.



(3)
DFT (GGA-PBE) results for ZrTa2Br after structural relaxation.

abc: 5.1029 5.1029 5.1029
angles: 128.41 128.41 75.96
With the nearest neighbours (Å) after each atom.
Fractional positions:
Ta  0.0000  0.0000  0.0000  4 Ta 3.00, 4 Br 3.00, 4 Zr 3.14
Ta  0.2500  0.7500  0.5000  4 Ta 3.00, 4 Zr 3.00, 4 Br 3.14
Zr  0.5000  0.5000  0.0000  8 Ta 3.00-3.14, 4 Br 3.00
Br  0.7500  0.2500  0.5000  4 Zr 3.00, 8 Ta 3.00-3.14

Results
As for the total moment: 0.00 μB/f.u. The distance to the lowest polymorph of the same formula is 0.628 eV/atom. The uncorrected formation energy comes out at 2.31 eV per formula unit.



(4)
DFT (GGA-PBE) results for Zr2TaBr after structural relaxation.

abc: 3.3946 4.9536 4.9536
angles: 90.00 90.00 90.00
With the nearest neighbours (Å) after each atom.
Fractional positions:
Zr  0.0000  0.0000  0.0000  4 Ta 3.00, 4 Br 3.00
Zr  0.0000  0.5000  0.5000  4 Ta 3.00, 4 Br 3.00
Br  0.5000  0.5000  0.0000  8 Zr 3.00
Ta  0.5000  0.0000  0.5000  8 Zr 3.00

Results
As for the total moment: 0.00 μB/f.u. The distance to the lowest polymorph of the same formula is 0.459 eV/atom. The uncorrected formation energy comes out at 0.82 eV per formula unit.



(5)
DFT (GGA-PBE) results for ZrTa2Br2 after structural relaxation.

abc: 7.9769 7.9769 3.0969
angles: 90.00 90.00 90.00
With the nearest neighbours (Å) after each atom.
Fractional positions:
Br  0.8209  0.6791  0.0000  6 Ta 2.69-2.91, 2 Zr 2.93
Br  0.1791  0.3209  0.0000  6 Ta 2.69-2.91, 2 Zr 2.93
Br  0.6791  0.1791  0.0000  6 Ta 2.69-2.91, 2 Zr 2.93
Br  0.3209  0.8209  0.0000  6 Ta 2.69-2.91, 2 Zr 2.93
Ta  0.8745  0.3745  0.5000  6 Br 2.69-2.91, 1 Ta 2.83
Ta  0.1255  0.6255  0.5000  6 Br 2.69-2.91, 1 Ta 2.83
Ta  0.3745  0.1255  0.5000  6 Br 2.69-2.91, 1 Ta 2.83
Ta  0.6255  0.8745  0.5000  6 Br 2.69-2.91, 1 Ta 2.83
Zr  0.0000  0.0000  0.0000  4 Br 2.93, 2 Zr 3.10
Zr  0.5000  0.5000  0.0000  4 Br 2.93, 2 Zr 3.10

Results
As for the total moment: 0.00 μB/f.u. The distance to the lowest polymorph of the same formula is 0.000 eV/atom. The uncorrected formation energy comes out at 3.32 eV per formula unit.



(6)
DFT (GGA-PBE) results for ZrTa2Br after structural relaxation.

abc: 4.8067 4.8067 4.8067
angles: 60.00 60.00 60.00
With the nearest neighbours (Å) after each atom.
Fractional positions:
Ta  0.2500  0.2500  0.2500  4 Zr 2.94, 4 Br 2.94
Ta  0.7500  0.7500  0.7500  4 Zr 2.94, 4 Br 2.94
Zr  0.5000  0.5000  0.5000  8 Ta 2.94
Br  0.0000  0.0000  0.0000  8 Ta 2.94

Results
As for the total moment: 0.00 μB/f.u. The distance to the lowest polymorph of the same formula is 0.914 eV/atom. The uncorrected formation energy comes out at 3.46 eV per formula unit.



(7)
DFT (GGA-PBE) results for ZrTa2Br after structural relaxation.

abc: 3.0642 3.0642 9.2210
angles: 90.00 90.00 111.86
With the nearest neighbours (Å) after each atom.
Fractional positions:
Zr  0.5000  0.5000  0.2500  4 Ta 2.91, 4 Zr 3.06
Br  0.5000  0.5000  0.7500  4 Ta 2.84, 4 Br 3.06
Ta  0.0000  0.0000  0.5047  2 Br 2.84, 2 Zr 2.91, 4 Ta 3.06
Ta  0.0000  0.0000  0.9953  2 Br 2.84, 2 Zr 2.91, 4 Ta 3.06

Results
As for the total moment: 0.00 μB/f.u. The distance to the lowest polymorph of the same formula is 0.425 eV/atom. The uncorrected formation energy comes out at 1.50 eV per formula unit.



(8)
DFT (GGA-PBE) results for Zr2TaBr after structural relaxation.

abc: 3.4649 3.4649 8.2448
angles: 90.00 90.00 90.00
With the nearest neighbours (Å) after each atom.
Fractional positions:
Ta  0.5000  0.5000  0.8357  4 Zr 2.83
Zr  0.0000  0.0000  0.0076  4 Ta 2.83, 4 Zr 3.05
Zr  0.5000  0.5000  0.2270  4 Br 2.97, 4 Zr 3.05, 1 Ta 3.23
Br  0.0000  0.0000  0.4298  4 Zr 2.97

Results
As for the total moment: 0.00 μB/f.u. The distance to the lowest polymorph of the same formula is 0.412 eV/atom. The uncorrected formation energy comes out at 0.63 eV per formula unit.



(9)
DFT (GGA-PBE) results for ZrTa2Br after structural relaxation.

abc: 9.5668 9.5668 9.5668
angles: 19.87 19.87 19.87
With the nearest neighbours (Å) after each atom.
Fractional positions:
Br  0.7628  0.7628  0.7628  3 Zr 2.78
Ta  0.2502  0.2502  0.2502  3 Ta 2.71, 3 Zr 2.99
Ta  0.9854  0.9854  0.9854  3 Ta 2.71
Zr  0.5016  0.5016  0.5016  3 Br 2.78, 3 Ta 2.99

Results
As for the total moment: 0.74 μB/f.u. The distance to the lowest polymorph of the same formula is 0.154 eV/atom. The uncorrected formation energy comes out at 0.42 eV per formula unit.



(10)
DFT (GGA-PBE) results for Zr2TaBr after structural relaxation.

abc: 5.5610 5.5610 5.3257
angles: 74.26 74.26 32.91
With the nearest neighbours (Å) after each atom.
Fractional positions:
Ta  0.2341  0.2341  0.1893  7 Zr 2.94-3.22, 2 Br 2.99, 2 Ta 3.15
Br  0.5265  0.5265  0.5699  5 Zr 2.79-3.12, 2 Ta 2.99
Zr  0.7631  0.7631  0.6972  3 Br 2.79-3.12, 2 Ta 3.00
Zr  0.9763  0.9763  0.0436  2 Br 2.89, 3 Ta 2.94-3.06, 2 Zr 3.15

Results
As for the total moment: 0.00 μB/f.u. The distance to the lowest polymorph of the same formula is 0.400 eV/atom. The uncorrected formation energy comes out at 0.58 eV per formula unit.



(11)
DFT (GGA-PBE) results for Zr2TaBr after structural relaxation.

abc: 3.1149 4.8640 5.7981
angles: 90.00 90.00 90.00
With the nearest neighbours (Å) after each atom.
Fractional positions:
Zr  0.5000  0.5000  0.2988  2 Ta 2.77-3.03, 4 Br 2.98
Zr  0.0000  0.0000  0.9521  2 Br 2.76-3.04, 4 Ta 2.99
Br  0.0000  0.0000  0.4275  6 Zr 2.76-3.04
Ta  0.5000  0.5000  0.8216  6 Zr 2.77-3.03

Results
As for the total moment: 0.00 μB/f.u. The distance to the lowest polymorph of the same formula is 0.455 eV/atom. The uncorrected formation energy comes out at 0.80 eV per formula unit.



(12)
DFT (GGA-PBE) results for ZrTa2Br after structural relaxation.

abc: 5.4984 5.4984 3.0463
angles: 90.00 90.00 120.09
With the nearest neighbours (Å) after each atom.
Fractional positions:
Ta  0.5000  0.5000  0.0000  4 Ta 2.75-3.05
Ta  0.0000  0.0000  0.0000  4 Ta 2.75-3.05
Br  0.0000  0.5000  0.5000  2 Zr 2.75, 2 Br 3.05
Zr  0.5000  0.0000  0.5000  2 Br 2.75, 2 Zr 3.05

Results
As for the total moment: 0.00 μB/f.u. The distance to the lowest polymorph of the same formula is 0.573 eV/atom. The uncorrected formation energy comes out at 2.09 eV per formula unit.



(13)
DFT (GGA-PBE) results for Zr2TaBr after structural relaxation.

abc: 5.7106 5.7106 5.7106
angles: 146.56 121.98 68.65
With the nearest neighbours (Å) after each atom.
Fractional positions:
Zr  0.9876  0.9876  0.0000  2 Br 2.78, 2 Ta 2.97
Zr  0.5124  0.5124  0.0000  2 Br 2.78, 2 Ta 2.97
Ta  0.2500  0.7500  0.5000  4 Zr 2.97, 4 Br 3.22, 2 Ta 3.29
Br  0.7500  0.2500  0.5000  4 Zr 2.78

Results
As for the total moment: 0.00 μB/f.u. The distance to the lowest polymorph of the same formula is 0.569 eV/atom. The uncorrected formation energy comes out at 1.26 eV per formula unit.



(14)
DFT (GGA-PBE) results for Zr2TaBr after structural relaxation.

abc: 4.9095 4.9095 4.9095
angles: 60.00 60.00 60.00
With the nearest neighbours (Å) after each atom.
Fractional positions:
Zr  0.2500  0.2500  0.2500  4 Ta 3.01, 4 Br 3.01
Zr  0.7500  0.7500  0.7500  4 Br 3.01, 4 Ta 3.01
Br  0.0000  0.0000  0.0000  8 Zr 3.01
Ta  0.5000  0.5000  0.5000  8 Zr 3.01

Results
As for the total moment: 0.00 μB/f.u. The distance to the lowest polymorph of the same formula is 0.675 eV/atom. The uncorrected formation energy comes out at 1.68 eV per formula unit.



(15)
DFT (GGA-PBE) results for Zr2TaBr after structural relaxation.

abc: 3.0913 3.0913 8.8119
angles: 90.00 90.00 90.00
With the nearest neighbours (Å) after each atom.
Fractional positions:
Zr  0.0000  0.0000  0.9905  8 Zr 3.09-3.27, 4 Ta 3.17
Zr  0.5000  0.5000  0.2661  4 Br 3.09, 8 Zr 3.09-3.27
Ta  0.5000  0.5000  0.7301  4 Br 2.90, 4 Ta 3.09, 4 Zr 3.17
Br  0.0000  0.0000  0.5133  4 Ta 2.90, 4 Zr 3.09, 4 Br 3.09

Results
As for the total moment: 0.00 μB/f.u. The distance to the lowest polymorph of the same formula is 0.476 eV/atom. The uncorrected formation energy comes out at 0.89 eV per formula unit.